Material: CaPr3Y6Tm2
Method: DFT, PBE-GGA
State: optimized geometry

Results
electronic total energy	-5.282	eV per atom
spin magnetization	0.001	μB/f.u.

a b c (Å): 6.284 6.284 11.936
angles (deg): 95.03 95.03 120.00
Atoms (fractional coordinates):
Ca 0.000 0.000 0.000
Pr 0.165 0.835 0.500
Pr 0.500 0.500 0.500
Pr 0.835 0.165 0.500
Y 0.083 0.423 0.248
Y 0.257 0.257 0.752
Y 0.423 0.083 0.248
Y 0.577 0.917 0.752
Y 0.743 0.743 0.248
Y 0.917 0.577 0.752
Tm 0.333 0.667 0.000
Tm 0.667 0.333 0.000